Arrangement A

{"formula": "TlHgO", "functional": "GGA-PBE", "state": "optimized geometry", "lattice_angstrom": [[3.7947, 0.0337, -0.2307], [-1.9379, 3.2567, -0.2675], [0.7292, -0.5987, 12.9612]], "species": ["Tl", "Tl", "Hg", "Hg", "O", "O"], "frac_coords": [[0.7722, 0.0783, 0.8592], [0.2278, 0.9217, 0.1408], [0.9716, 0.4282, 0.3979], [0.0284, 0.5718, 0.6021], [0.0736, 0.6829, 0.7622], [0.9264, 0.3171, 0.2378]], "magmom_total_mub_per_fu": 0.00, "volume_a3_per_atom": 26.782}

Arrangement B

{"formula": "TlHgO", "functional": "GGA-PBE", "state": "optimized geometry", "lattice_angstrom": [[3.6737, 0.0000, 0.0000], [-1.8369, 3.1816, 0.0000], [0.0000, 0.0000, 5.3633]], "species": ["Tl", "Hg", "O"], "frac_coords": [[0.6667, 0.3333, 0.4136], [0.0000, 0.0000, 0.9578], [0.3333, 0.6667, 0.6286]], "magmom_total_mub_per_fu": 0.00, "volume_a3_per_atom": 20.896}

Energetically preferred structure: arrangement A | next structure: +176 meV/atom

Arrangement A

{"formula": "TlHg3O", "functional": "GGA-PBE", "state": "optimized geometry", "lattice_angstrom": [[5.9141, 0.0000, 0.0000], [0.0000, 5.9141, 0.0000], [0.0000, 0.0000, 5.9141]], "species": ["Tl", "Hg", "Hg", "Hg", "O"], "frac_coords": [[0.0000, 0.0000, 0.0000], [0.0000, 0.5000, 0.0000], [0.0000, 0.0000, 0.5000], [0.5000, 0.0000, 0.0000], [0.5000, 0.5000, 0.5000]], "magmom_total_mub_per_fu": 0.00, "volume_a3_per_atom": 41.371}

Arrangement B

{"formula": "TlHg3O", "functional": "GGA-PBE", "state": "optimized geometry", "lattice_angstrom": [[-3.7069, -0.7188, -3.2855], [2.8476, -3.2724, -2.4970], [-1.7894, -3.7185, 2.8325]], "species": ["Tl", "Hg", "Hg", "Hg", "O"], "frac_coords": [[0.5000, 0.5000, 0.5000], [0.0000, 0.5000, 0.0000], [0.0000, 0.0000, 0.5000], [0.5000, 0.0000, 0.0000], [0.0000, 0.0000, 0.0000]], "magmom_total_mub_per_fu": 0.00, "volume_a3_per_atom": 25.078}

Energetically preferred structure: arrangement B | next structure: +505 meV/atom